# 1
Density functional theory data (PBE+U) for Na2DyCrO4 after structural relaxation.

Structure (CIF):
```
data_Na2DyCrO4
_cell_length_a 5.566
_cell_length_b 3.257
_cell_length_c 5.826
_cell_angle_alpha 90.00
_cell_angle_beta 108.89
_cell_angle_gamma 90.00
_symmetry_space_group_name_H-M 'P 1'
_symmetry_Int_Tables_number 1
loop_
_symmetry_equiv_pos_as_xyz
'x,y,z'
loop_
_atom_site_label
_atom_site_type_symbol
_atom_site_fract_x
_atom_site_fract_y
_atom_site_fract_z
Na1 Na 0.000 0.000 0.000
Na2 Na 0.500 0.500 0.000
Dy1 Dy 0.000 0.500 0.500
Cr1 Cr 0.500 0.000 0.500
O1 O 0.258 0.000 0.710
O2 O 0.286 0.500 0.298
O3 O 0.714 0.500 0.702
O4 O 0.742 0.000 0.290
```

Values from the calculation:
calculated density	5.39	g/cm³
E_tot	-52.89	eV per formula unit
magnetization	3.000	μB/cell

***

# 2
Density functional theory data (PBE+U) for NaDyCrO4 after structural relaxation.

Structure (CIF):
```
data_NaDyCrO4
_cell_length_a 5.775
_cell_length_b 5.920
_cell_length_c 6.816
_cell_angle_alpha 90.00
_cell_angle_beta 111.64
_cell_angle_gamma 90.00
_symmetry_space_group_name_H-M 'P 1'
_symmetry_Int_Tables_number 1
loop_
_symmetry_equiv_pos_as_xyz
'x,y,z'
loop_
_atom_site_label
_atom_site_type_symbol
_atom_site_fract_x
_atom_site_fract_y
_atom_site_fract_z
Na1 Na 0.147 0.250 0.432
Na2 Na 0.853 0.750 0.568
Dy1 Dy 0.312 0.250 0.967
Dy2 Dy 0.688 0.750 0.033
Cr1 Cr 0.247 0.750 0.188
Cr2 Cr 0.753 0.250 0.812
O1 O 0.026 0.750 0.925
O2 O 0.047 0.750 0.332
O3 O 0.475 0.527 0.201
O4 O 0.475 0.973 0.201
O5 O 0.525 0.027 0.799
O6 O 0.525 0.473 0.799
O7 O 0.953 0.250 0.668
O8 O 0.974 0.250 0.075
```

Values from the calculation:
calculated density	4.62	g/cm³
E_tot	-48.89	eV per formula unit
magnetization	4.000	μB/cell